(1)
{"formula": "Hf2ZnCu", "functional": "PBE", "state": "optimized geometry", "spacegroup": "R-3m, No. 166", "ef_ev_per_atom": 0.07, "lattice_angstrom": [[3.2185, 0.0000, 0.0000], [1.6093, 2.7873, 0.0000], [1.6093, 0.9291, 8.4206]], "species": ["Zn", "Hf", "Cu", "Hf"], "frac_coords": [[0.0000, 0.0000, 0.0000], [0.2474, 0.2474, 0.2579], [0.5000, 0.5000, 0.5000], [0.7526, 0.7526, 0.7421]]}

---

(2)
{"formula": "Hf4ZnCu", "functional": "PBE", "state": "optimized geometry", "spacegroup": "P4/mmm, No. 123", "ef_ev_per_atom": -0.17, "relative_energy_ev_per_atom": 0.000, "lattice_angstrom": [[-2.3910, 0.8418, -1.9430], [1.6811, -1.0272, -2.5138], [-4.5789, -10.3303, 1.1588]], "species": ["Hf", "Cu", "Zn", "Hf", "Hf", "Hf"], "frac_coords": [[0.5000, 0.5000, 0.1543], [0.0000, 0.0000, 0.0000], [0.5000, 0.5000, 0.5000], [0.0000, 0.0000, 0.6612], [0.0000, 0.0000, 0.3388], [0.5000, 0.5000, 0.8457]]}

---

(3)
{"formula": "HfZn3Cu2", "functional": "PBE", "state": "optimized geometry", "spacegroup": "P4/mmm, No. 123", "ef_ev_per_atom": -0.11, "lattice_angstrom": [[3.0471, 0.0000, 0.0000], [0.0000, 3.0471, 0.0000], [0.0000, 0.0000, 9.5196]], "species": ["Zn", "Zn", "Cu", "Zn", "Hf", "Cu"], "frac_coords": [[0.0000, 0.0000, 0.0000], [0.0000, 0.0000, 0.2973], [0.5000, 0.5000, 0.8508], [0.0000, 0.0000, 0.7027], [0.5000, 0.5000, 0.5000], [0.5000, 0.5000, 0.1492]]}

---

(4)
{"formula": "Hf3Zn3Cu2", "functional": "PBE", "state": "optimized geometry", "spacegroup": "Cmcm, No. 63", "ef_ev_per_atom": -0.13, "relative_energy_ev_per_atom": 0.005, "lattice_angstrom": [[-1.2641, -3.5053, 1.7075], [3.2130, 2.7826, 3.1715], [-10.6107, 6.3493, 5.1790]], "species": ["Zn", "Hf", "Zn", "Cu", "Zn", "Cu", "Hf", "Cu", "Zn", "Hf", "Zn", "Cu", "Hf", "Hf", "Zn", "Hf"], "frac_coords": [[0.3832, 0.7664, 0.9634], [0.6403, 0.2806, 0.2500], [0.6168, 0.2336, 0.4634], [0.2060, 0.4119, 0.3962], [0.3832, 0.7664, 0.5366], [0.2060, 0.4119, 0.1038], [0.0812, 0.1624, 0.6152], [0.7940, 0.5881, 0.8962], [0.6443, 0.2885, 0.7500], [0.9188, 0.8376, 0.3848], [0.6168, 0.2336, 0.0366], [0.7940, 0.5881, 0.6038], [0.3597, 0.7194, 0.7500], [0.0812, 0.1624, 0.8848], [0.3557, 0.7115, 0.2500], [0.9188, 0.8376, 0.1152]]}

---

(5)
{"formula": "HfZn4Cu2", "functional": "PBE", "state": "optimized geometry", "spacegroup": "C2/m, No. 12", "ef_ev_per_atom": -0.09, "lattice_angstrom": [[4.3415, -0.0017, 2.3187], [2.0148, 4.5543, 1.4434], [0.0203, -0.3348, 5.1744]], "species": ["Zn", "Cu", "Zn", "Cu", "Hf", "Zn", "Zn"], "frac_coords": [[0.3044, 0.3926, 0.9998], [0.2491, 0.5009, 0.5009], [0.6956, 0.6074, 0.0002], [0.7509, 0.4991, 0.4991], [0.0000, 0.0000, 0.0000], [0.3044, 0.9998, 0.3926], [0.6956, 0.0002, 0.6074]]}

---

(6)
{"formula": "Hf2ZnCu2", "functional": "PBE", "state": "optimized geometry", "spacegroup": "P4/mbm, No. 127", "ef_ev_per_atom": 0.13, "lattice_angstrom": [[-6.4990, -3.0231, 2.8068], [3.9424, -3.0098, 5.8867], [-0.4713, 2.4868, 1.5871]], "species": ["Hf", "Cu", "Zn", "Cu", "Hf", "Hf", "Cu", "Hf", "Cu", "Zn"], "frac_coords": [[0.3291, 0.8291, 0.0000], [0.8772, 0.3772, 0.5000], [0.5000, 0.5000, 0.0000], [0.6228, 0.8772, 0.5000], [0.6709, 0.1709, 0.0000], [0.8291, 0.6709, 0.0000], [0.3772, 0.1228, 0.5000], [0.1709, 0.3291, 0.0000], [0.1228, 0.6228, 0.5000], [0.0000, 0.0000, 0.0000]]}

---

(7)
{"formula": "HfZn2Cu3", "functional": "PBE", "state": "optimized geometry", "spacegroup": "P6_3/mmc, No. 194", "ef_ev_per_atom": -0.13, "lattice_angstrom": [[-1.0835, 3.6696, -1.6756], [-0.3952, -3.5112, -2.2277], [-10.7325, -1.3373, 4.0116]], "species": ["Zn", "Hf", "Cu", "Zn", "Cu", "Hf", "Cu", "Cu", "Cu", "Cu", "Zn", "Zn"], "frac_coords": [[0.6667, 0.3333, 0.4148], [0.0000, 0.0000, 0.2500], [0.6667, 0.3333, 0.6384], [0.3333, 0.6667, 0.9148], [0.6667, 0.3333, 0.8616], [0.0000, 0.0000, 0.7500], [0.0000, 0.0000, 0.0000], [0.3333, 0.6667, 0.1384], [0.3333, 0.6667, 0.3616], [0.0000, 0.0000, 0.5000], [0.3333, 0.6667, 0.5852], [0.6667, 0.3333, 0.0852]]}

---

(8)
{"formula": "Hf3ZnCu2", "functional": "PBE", "state": "optimized geometry", "spacegroup": "Cmmm, No. 65", "ef_ev_per_atom": -0.12, "lattice_angstrom": [[3.2593, 0.0000, 0.0000], [0.0000, 4.3711, -1.4471], [0.0000, -0.0069, 7.3044]], "species": ["Cu", "Hf", "Zn", "Hf", "Hf", "Cu"], "frac_coords": [[0.0000, 0.3389, 0.6777], [0.5000, 0.8305, 0.6611], [0.0000, 0.0000, 0.0000], [0.5000, 0.1695, 0.3389], [0.5000, 0.5000, 0.0000], [0.0000, 0.6611, 0.3223]]}

---

| no. | DOS(E_F) (states/eV/cell) |
| --- | --- |
| 1 | 3.6 |
| 2 | 4.0 |
| 3 | 3.6 |
| 4 | 16.5 |
| 5 | 3.9 |
| 6 | 9.6 |
| 7 | 5.1 |
| 8 | 8.6 |